[1]
# SrNiPt

A crystal of SrNiPt relaxed with PBEsol (meta-GGA SCAN, Alexandria via LeMat-Bulk).

CIF file:
```
data_SrNiPt
_symmetry_space_group_name_H-M 'P 1'
_symmetry_Int_Tables_number 1
_cell_length_a 4.1208
_cell_length_b 4.1208
_cell_length_c 4.3000
_cell_angle_alpha 90.00
_cell_angle_beta 90.00
_cell_angle_gamma 120.00
loop_
_symmetry_equiv_pos_as_xyz
'x,y,z'
loop_
_atom_site_label
_atom_site_fract_x
_atom_site_fract_y
_atom_site_fract_z
_atom_site_occupancy
Sr1 0.0000 0.0000 0.0000 1
Ni1 0.3333 0.6667 0.5000 1
Pt1 0.6667 0.3333 0.5000 1
```

Results
ΔH_f (0 K): -0.561 eV per atom


[2]
# Sr2NiPt

A crystal of Sr2NiPt relaxed with PBEsol (meta-GGA SCAN, Alexandria via LeMat-Bulk).

CIF file:
```
data_Sr2NiPt
_symmetry_space_group_name_H-M 'P 1'
_symmetry_Int_Tables_number 1
_cell_length_a 4.9282
_cell_length_b 4.9282
_cell_length_c 4.9282
_cell_angle_alpha 60.00
_cell_angle_beta 60.00
_cell_angle_gamma 60.00
loop_
_symmetry_equiv_pos_as_xyz
'x,y,z'
loop_
_atom_site_label
_atom_site_fract_x
_atom_site_fract_y
_atom_site_fract_z
_atom_site_occupancy
Sr1 0.0000 0.0000 0.0000 1
Sr2 0.2500 0.2500 0.2500 1
Ni1 0.7500 0.7500 0.7500 1
Pt1 0.5000 0.5000 0.5000 1
```

Results
ΔH_f (0 K): 0.016 eV per atom


Q: ΔH_f (0 K) of number 1 (SrNiPt)?
A: -0.561 eV per atom


Q: Among the records above, which one has the highest ΔH_f (0 K)?
A: Sr2NiPt


Copy entry 1 word for word.
# SrNiPt

A crystal of SrNiPt relaxed with PBEsol (meta-GGA SCAN, Alexandria via LeMat-Bulk).

CIF file:
```
data_SrNiPt
_symmetry_space_group_name_H-M 'P 1'
_symmetry_Int_Tables_number 1
_cell_length_a 4.1208
_cell_length_b 4.1208
_cell_length_c 4.3000
_cell_angle_alpha 90.00
_cell_angle_beta 90.00
_cell_angle_gamma 120.00
loop_
_symmetry_equiv_pos_as_xyz
'x,y,z'
loop_
_atom_site_label
_atom_site_fract_x
_atom_site_fract_y
_atom_site_fract_z
_atom_site_occupancy
Sr1 0.0000 0.0000 0.0000 1
Ni1 0.3333 0.6667 0.5000 1
Pt1 0.6667 0.3333 0.5000 1
```

Results
ΔH_f (0 K): -0.561 eV per atom


Q: Look up the ΔH_f (0 K) of the first one.
A: -0.561 eV per atom